(1)
The following is a PBE-GGA calculation of an optimized crystal structure of La5Pm2Y4, from Alexandria.

It has space group C2/m (No. 12), with a = 24.113 Å, b = 3.664 Å, c = 8.967 Å, α = 90.00°, β = 104.56° and γ = 90.00°. Symmetry generates all atoms from La at (0.000, 0.000, 0.000), La at (0.136, 0.500, 0.093), La at (0.227, 0.500, 0.814), Pm at (0.090, 0.000, 0.722), Y at (0.045, 0.500, 0.367) and Y at (0.181, 0.000, 0.455).

The calculation puts the formation energy at 22 meV per atom.



(2)
The following is a PBE-GGA calculation of an optimized crystal structure of SiTcPd3, from Alexandria.

It has space group Pm-3m (No. 221), with a = 4.504 Å, b = 4.504 Å, c = 4.504 Å, α = 90.00°, β = 90.00° and γ = 90.00°. Symmetry generates all atoms from Si at (0.000, 0.000, 0.000), Tc at (0.500, 0.500, 0.500) and Pd at (0.000, 0.000, 0.500).

For the offset from the most stable computed form, the calculation gives 0 meV per atom. The uncorrected formation energy comes out at 0.48 eV/atom.



(3)
The following is a PBE-GGA calculation of an optimized crystal structure of Ni7Sb2Pt2Rh, from Alexandria.

It has space group C2/m (No. 12), with a = 5.009 Å, b = 5.009 Å, c = 14.033 Å, α = 90.00°, β = 100.08° and γ = 90.00°. Symmetry generates all atoms from Ni at (0.000, 0.000, 0.000), Ni at (0.185, 0.250, 0.868), Ni at (0.230, 0.000, 0.463), Sb at (0.176, 0.500, 0.360), Pt at (0.132, 0.000, 0.270) and Rh at (0.000, 0.500, 0.000).

The uncorrected formation energy comes out at 0.00 eV/atom.



(4)
The following is a PBE-GGA calculation of an optimized crystal structure of HoTh3Pd12, from Alexandria.

It has space group P4/mmm (No. 123), with a = 4.191 Å, b = 4.191 Å, c = 16.790 Å, α = 90.00°, β = 90.00° and γ = 90.00°. Symmetry generates all atoms from Ho at (0.000, 0.000, 0.000), Th at (0.000, 0.000, 0.244), Th at (0.000, 0.000, 0.500), Pd at (0.000, 0.500, 0.123), Pd at (0.000, 0.500, 0.374), Pd at (0.500, 0.500, 0.000), Pd at (0.500, 0.500, 0.249) and Pd at (0.500, 0.500, 0.500).

The calculation puts the formation energy at -950 meV per atom.



(5)
The following is a PBE-GGA calculation of an optimized crystal structure of ScCuSn2Se5, from Alexandria.

It has space group Cmc2_1 (No. 36), with a = 3.897 Å, b = 19.344 Å, c = 13.226 Å, α = 90.00°, β = 90.00° and γ = 90.00°. Symmetry generates all atoms from Sc at (0.000, 0.187, 0.000), Cu at (0.000, 0.421, 0.409), Sn at (0.000, 0.064, 0.203), Sn at (0.000, 0.174, 0.663), Se at (0.000, 0.042, 0.000), Se at (0.000, 0.301, 0.360), Se at (0.000, 0.318, 0.652), Se at (0.000, 0.326, 0.018) and Se at (0.000, 0.468, 0.241).

The uncorrected formation energy comes out at -0.64 eV/atom.



(6)
The following is a PBE-GGA calculation of an optimized crystal structure of Er4ZnGe3, from Alexandria.

It has space group Pmm2 (No. 25), with a = 4.003 Å, b = 4.197 Å, c = 10.727 Å, α = 90.00°, β = 90.00° and γ = 90.00°. Symmetry generates all atoms from Er at (0.000, 0.000, 0.000), Er at (0.000, 0.500, 0.498), Er at (0.500, 0.000, 0.276), Er at (0.500, 0.500, 0.779), Zn at (0.500, 0.000, 0.563), Ge at (0.000, 0.000, 0.719), Ge at (0.000, 0.500, 0.223) and Ge at (0.500, 0.500, 0.051).

The calculation puts the formation energy at -739 meV per atom.



(7)
The following is a PBE-GGA calculation of an optimized crystal structure of PaTlPd2, from Alexandria.

It has space group R-3m (No. 166, hexagonal axes), with a = 3.1698 Å, b = 3.1698 Å, c = 28.4692 Å, α = 90.00°, β = 90.00° and γ = 120.00°. Symmetry generates all atoms from Pa at (0.0000, 0.0000, 0.0000), Tl at (0.0000, 0.0000, 0.5000) and Pd at (0.0000, 0.0000, 0.2484).

The calculation puts the formation energy at -128 meV per atom. For the offset from the most stable computed form, the calculation gives 255 meV per atom.



(8)
The following is a PBE-GGA calculation of an optimized crystal structure of Na2CeO3, from Alexandria.

It has space group Cmcm (No. 63), with a = 12.330 Å, b = 7.108 Å, c = 4.677 Å, α = 90.00°, β = 90.00° and γ = 90.00°. Symmetry generates all atoms from Na at (0.184, 0.153, 0.250), Ce at (0.000, 0.306, 0.750), O at (0.000, 0.367, 0.250) and O at (0.150, 0.178, 0.750).

The uncorrected formation energy comes out at -2.40 eV/atom.